# 1
Material: CuHgTe2N
Method: DFT, PBE-GGA
State: optimized geometry

Calculated values
The calculation puts the distance to the lowest polymorph of the same formula at 0.757 eV per atom.

a = 5.790 Å, b = 5.790 Å, c = 3.931 Å
α = 90.00°, β = 90.00°, γ = 90.00°
Fractional positions:
N (0.000, 0.000, 0.500)
Cu (0.500, 0.500, 0.500)
Hg (0.000, 0.000, 0.000)
Te (0.000, 0.500, 0.000)
Te (0.500, 0.000, 0.000)

---

# 2
Material: MnReTc2
Method: DFT, PBE-GGA
State: optimized geometry

Calculated values
The formation energy comes out at 0.101 eV per atom.

a = 2.721 Å, b = 3.810 Å, c = 5.411 Å
α = 90.00°, β = 90.00°, γ = 90.00°
Fractional positions:
Tc (0.000, 0.000, 0.011)
Tc (0.000, 0.000, 0.489)
Re (0.500, 0.500, 0.750)
Mn (0.500, 0.500, 0.250)

---

Number 1: total magnetization 0.0 μB/f.u., density of states at the Fermi level 1.831 states/eV/atom. Number 2: total magnetization 1.3 μB/f.u., density of states at the Fermi level 1.113 states/eV/atom.